This record from Alexandria describes a relaxed Sm8GeSe6 crystal. The functional is PBE.

DOS at the Fermi energy (states/eV/f.u.): 11.244
Magnetization (μB per atom): 0.000
Total DFT energy (no corrections) (eV per atom): -5.56
Formation energy from raw total energies (eV/atom): -1.3462
Theoretical density (g/cm³): 7.1

Cell lengths 10.6151, 10.6151, 4.1897 Å; angles 90.00, 90.00, 120.00 degrees
Space group P-3 (No. 147)
Symmetry-distinct sites (fractional):
Sm  0.0321  0.3126  0.2440 (multiplicity 6)
Sm  0.3333  0.6667  0.7523 (multiplicity 2)
Ge  0.0000  0.0000  0.0000 (multiplicity 1)
Se  0.1294  0.6484  0.2508 (multiplicity 6)